# FeCuC2

An optimized crystal structure of FeCuC2 (PBEsol, Alexandria via LeMat-Bulk).

abc: 3.570 3.570 3.570
angles: 60.00 60.00 60.00
Fractional coordinates of all 4 atoms:
C (0.250, 0.250, 0.250)
C (0.750, 0.750, 0.750)
Fe (0.000, 0.000, 0.000)
Cu (0.500, 0.500, 0.500)

Output
**N(E_F)**: 3.58 states/eV/f.u.
**ΔH_f (0 K)**: 1.506 eV per atom
**Total moment**: 1.6 Bohr magnetons per cell
**Total DFT energy (no corrections)**: -0.4880 Ry per atom